Entry from Alexandria: a relaxed Tb7Pm2Er2 crystal (PBE).

Structure (CIF):
```
data_Tb7Pm2Er2
_chemical_formula_sum 'Tb7 Pm2 Er2'
_space_group_name_H-M_alt 'P 1'
_space_group_IT_number 1
_space_group_name_Hall 'P 1'
_cell_length_a 8.861
_cell_length_b 8.861
_cell_length_c 8.861
_cell_angle_alpha 143.09
_cell_angle_beta 116.54
_cell_angle_gamma 75.74
loop_
_atom_site_label
_atom_site_fract_x
_atom_site_fract_y
_atom_site_fract_z
Tb1 0.000 0.000 0.000
Tb2 0.079 0.246 0.833
Tb3 0.375 0.875 0.500
Tb4 0.412 0.246 0.167
Tb5 0.588 0.754 0.833
Tb6 0.625 0.125 0.500
Tb7 0.921 0.754 0.167
Pm1 0.304 0.500 0.804
Pm2 0.696 0.500 0.196
Er1 0.145 0.645 0.500
Er2 0.855 0.355 0.500
```

Calculated values
Crystal system: orthorhombic
Space group: Immm, No. 71
DOS(E_F) (states/eV/f.u.): 15.015
Excess energy over the best structure of this formula in the dataset (eV/atom): 0.000